Record 1
Here is Ho4Sb3 at its PBEsol-relaxed geometry from Alexandria via LeMat-Bulk. Energies are from meta-GGA SCAN.

Computed properties:
Total energy, eV/atom: -45.0131
Calculated volume, A^3/atom: 26.13
Density of states at the Fermi level, states/eV/cell: 23.7
Formation energy from raw total energies, kJ/mol of formula units: -710

Lattice parameters (Å, degrees): 9.011 9.011 9.011 90.00 90.00 90.00
Space group I-43d (No. 220)
Inequivalent atoms, fractional coordinates:
Ho: 0.073 0.073 0.073 x16
Sb: 0.000 0.250 0.375 x12

***

Record 2
Here is Ho3Sc at its PBEsol-relaxed geometry from Alexandria via LeMat-Bulk. Energies are from meta-GGA SCAN.

Computed properties:
Total energy, eV/atom: -40.2898
Calculated volume, A^3/atom: 28.00
Calculated formation energy, eV/atom: 0.0104
Density of states at the Fermi level, states/eV/cell: 11.8

Lattice parameters (Å, degrees): 6.9284 6.9284 5.3882 90.00 90.00 120.00
Space group P6_3/mmc (No. 194)
Inequivalent atoms, fractional coordinates:
Ho: 0.1690 0.3379 0.2500 x6
Sc: 0.3333 0.6667 0.7500 x2

***

Record 3
Here is HoScZn2 at its PBEsol-relaxed geometry from Alexandria via LeMat-Bulk. Energies are from meta-GGA SCAN.

Computed properties:
Total energy, eV/atom: -23.0082
Calculated volume, A^3/atom: 19.60
Calculated formation energy, eV/atom: -0.4444
Density of states at the Fermi level, states/eV/cell: 13.4

Lattice parameters (Å, degrees): 6.794 6.794 6.794 90.00 90.00 90.00
Space group Fm-3m (No. 225)
Inequivalent atoms, fractional coordinates:
Ho: 0.000 0.000 0.000 x4
Sc: 0.000 0.000 0.500 x4
Zn: 0.250 0.250 0.250 x8

***

Record 4
Here is Ho2Se3 at its PBEsol-relaxed geometry from Alexandria via LeMat-Bulk. Energies are from meta-GGA SCAN.

Computed properties:
Total energy, eV/atom: -33.7531
Calculated volume, A^3/atom: 27.37
Density of states at the Fermi level, states/eV/cell: 0.0
Formation energy from raw total energies, kJ/mol of formula units: -1018

Lattice parameters (Å, degrees): 8.059 11.299 24.046 90.00 90.00 90.00
Space group Fddd (No. 70, origin choice 2)
Inequivalent atoms, fractional coordinates:
Ho: 0.125 0.125 0.041 x16
Ho: 0.125 0.125 0.377 x16
Se: 0.119 0.374 0.207 x32
Se: 0.120 0.375 0.375 x16

***

Record 5
Here is HoTlSe2 at its PBEsol-relaxed geometry from Alexandria via LeMat-Bulk. Energies are from meta-GGA SCAN.

Computed properties:
Total energy, eV/atom: -41.9102
Calculated volume, A^3/atom: 27.42
Density of states at the Fermi level, states/eV/cell: 0.0
Formation energy from raw total energies, kJ/mol of formula units: -592

Lattice parameters (Å, degrees): 4.0790 4.0790 22.8350 90.00 90.00 120.00
Space group R-3m (No. 166, hexagonal axes)
Inequivalent atoms, fractional coordinates:
Ho: 0.0000 0.0000 0.0000 x3
Tl: 0.0000 0.0000 0.5000 x3
Se: 0.0000 0.0000 0.2642 x6

***

Record 6
Here is Ho5Si4 at its PBEsol-relaxed geometry from Alexandria via LeMat-Bulk. Energies are from meta-GGA SCAN.

Computed properties:
Total energy, eV/atom: -32.4483
Calculated volume, A^3/atom: 21.98
Density of states at the Fermi level, states/eV/cell: 30.2
Formation energy from raw total energies, kJ/mol of formula units: -679

Lattice parameters (Å, degrees): 7.303 14.319 7.567 90.00 90.00 90.00
Space group Pnma (No. 62)
Inequivalent atoms, fractional coordinates:
Ho: 0.027 0.098 0.183 x8
Ho: 0.149 0.750 0.511 x4
Ho: 0.181 0.123 0.679 x8
Si: 0.022 0.750 0.103 x4
Si: 0.148 0.540 0.471 x8
Si: 0.232 0.250 0.372 x4

***

Record 7
Here is Ho10Si17 at its PBEsol-relaxed geometry from Alexandria via LeMat-Bulk. Energies are from meta-GGA SCAN.

Computed properties:
Total energy, eV/atom: -25.1218
Calculated volume, A^3/atom: 18.76
Density of states at the Fermi level, states/eV/cell: 10.8
Formation energy from raw total energies, kJ/mol of formula units: -1750

Lattice parameters (Å, degrees): 8.168 18.878 6.570 90.00 90.00 90.00
Space group Imm2 (No. 44)
Inequivalent atoms, fractional coordinates:
Ho: 0.244 0.000 0.000 x4
Ho: 0.248 0.300 0.497 x8
Ho: 0.248 0.399 0.991 x8
Si: 0.000 0.000 0.329 x2
Si: 0.000 0.000 0.682 x2
Si: 0.000 0.105 0.149 x4
Si: 0.000 0.124 0.788 x4
Si: 0.000 0.200 0.389 x4
Si: 0.000 0.283 0.800 x4
Si: 0.000 0.301 0.163 x4
Si: 0.000 0.400 0.657 x4
Si: 0.000 0.421 0.298 x4
Si: 0.000 0.500 0.879 x2

***

Record 8
Here is HoTiSi at its PBEsol-relaxed geometry from Alexandria via LeMat-Bulk. Energies are from meta-GGA SCAN.

Computed properties:
Total energy, eV/atom: -25.7127
Calculated volume, A^3/atom: 19.62
Density of states at the Fermi level, states/eV/cell: 3.9
Formation energy from raw total energies, kJ/mol of formula units: -203

Lattice parameters (Å, degrees): 3.974 3.974 7.451 90.00 90.00 90.00
Space group P4/nmm (No. 129, origin choice 2)
Inequivalent atoms, fractional coordinates:
Ho: 0.250 0.250 0.155 x2
Ti: 0.250 0.750 0.500 x2
Si: 0.250 0.250 0.740 x2